# 1
This record from Alexandria describes an optimized crystal structure of ZnBiSb. The functional is PBE.

Computed properties:
- Formation energy (no corrections): 96 meV/atom
- Space-group type: P3m1 (156)
- Spin magnetization: 0.00 μB per cell
- Relative energy among the computed polymorphs: 0.000 eV/atom

a = 4.2949 Å, b = 4.2949 Å, c = 5.0506 Å
α = 90.00°, β = 90.00°, γ = 120.00°
With the nearest neighbours (Å) after each atom.
Element x y z (fractional)
Sb1 0.6667 0.3333 0.3747  3 Zn 2.82
Zn1 0.3333 0.6667 0.6424  3 Sb 2.82, 3 Bi 3.02
Bi1 0.0000 0.0000 0.9829  3 Zn 3.02, 3 Sb 3.17

# 2
This record from Alexandria describes an optimized crystal structure of ZnBiSb3. The functional is PBE.

Computed properties:
- Formation energy (no corrections): 1018 meV/atom
- Space-group type: Pm-3m (221)
- Spin magnetization: 0.00 μB per cell
- Relative energy among the computed polymorphs: 0.561 eV/atom

a = 5.9077 Å, b = 5.9077 Å, c = 5.9077 Å
α = 90.00°, β = 90.00°, γ = 90.00°
With the nearest neighbours (Å) after each atom.
Element x y z (fractional)
Sb1 0.5000 0.0000 0.0000  2 Bi 2.95
Zn1 0.5000 0.5000 0.5000  12 Sb 4.18
Sb2 0.0000 0.5000 0.0000  2 Bi 2.95
Sb3 0.0000 0.0000 0.5000  2 Bi 2.95
Bi1 0.0000 0.0000 0.0000  6 Sb 2.95

# 3
This record from Alexandria describes an optimized crystal structure of ZnBiSb3. The functional is PBE.

Computed properties:
- Formation energy (no corrections): 458 meV/atom
- Space-group type: Pm-3m (221)
- Spin magnetization: 0.00 μB per cell
- Relative energy among the computed polymorphs: 0.000 eV/atom

a = 5.2558 Å, b = 5.2558 Å, c = 5.2558 Å
α = 90.00°, β = 90.00°, γ = 90.00°
With the nearest neighbours (Å) after each atom.
Element x y z (fractional)
Sb1 0.0000 0.5000 0.0000  2 Zn 2.63
Sb2 0.0000 0.0000 0.5000  2 Zn 2.63
Bi1 0.5000 0.5000 0.5000  12 Sb 3.72
Zn1 0.0000 0.0000 0.0000  6 Sb 2.63
Sb3 0.5000 0.0000 0.0000  2 Zn 2.63

# 4
This record from Alexandria describes an optimized crystal structure of Zn2BiSb. The functional is PBE.

Computed properties:
- Formation energy (no corrections): 148 meV/atom
- Space-group type: I-42d (122)
- Spin magnetization: 0.00 μB per cell

a = 5.5200 Å, b = 5.5200 Å, c = 8.5169 Å
α = 71.09°, β = 71.09°, γ = 90.00°
With the nearest neighbours (Å) after each atom.
Element x y z (fractional)
Bi1 0.0000 0.0000 0.0000  4 Zn 2.77
Zn1 0.3750 0.3934 0.7500  2 Sb 2.67, 2 Bi 2.77
Bi2 0.7500 0.2500 0.5000  4 Zn 2.77
Zn2 0.8750 0.8566 0.7500  2 Sb 2.67, 2 Bi 2.77
Zn3 0.6066 0.1250 0.2500  2 Sb 2.67, 2 Bi 2.77
Sb1 0.5000 0.5000 0.0000  4 Zn 2.67
Sb2 0.2500 0.7500 0.5000  4 Zn 2.67
Zn4 0.1434 0.6250 0.2500  2 Sb 2.67, 2 Bi 2.77

# 5
This record from Alexandria describes an optimized crystal structure of ZnBiSb. The functional is PBE.

Computed properties:
- Formation energy (no corrections): 202 meV/atom
- Space-group type: I4mm (107)
- Spin magnetization: 0.00 μB per cell
- Relative energy among the computed polymorphs: 0.106 eV/atom

a = 4.5104 Å, b = 4.5104 Å, c = 5.6184 Å
α = 113.67°, β = 113.67°, γ = 90.00°
With the nearest neighbours (Å) after each atom.
Element x y z (fractional)
Zn1 0.2799 0.2799 0.5598  1 Sb 2.61, 1 Bi 2.70
Bi1 0.5722 0.5722 0.1445  1 Zn 2.70
Sb1 0.9979 0.9979 0.9958  1 Zn 2.61

# 6
This record from Alexandria describes an optimized crystal structure of Zn2BiSb. The functional is PBE.

Computed properties:
- Formation energy (no corrections): 156 meV/atom
- Space-group type: R3m (160)
- Spin magnetization: 0.00 μB per cell

a = 4.1760 Å, b = 4.1760 Å, c = 7.0000 Å
α = 72.65°, β = 72.65°, γ = 60.00°
With the nearest neighbours (Å) after each atom.
Element x y z (fractional)
Zn1 0.0759 0.0759 0.7724  3 Sb 2.82, 3 Bi 2.99
Bi1 0.4988 0.4988 0.5037  6 Zn 2.99-3.01
Sb1 0.6685 0.6685 0.9945  6 Zn 2.82-2.86
Zn2 0.2569 0.2569 0.2294  3 Sb 2.86, 3 Bi 3.01

- Which value of spin magnetization does entry 3 give?
  0.00 μB per cell

Repeat the fifth record exactly.
This record from Alexandria describes an optimized crystal structure of ZnBiSb. The functional is PBE.

Computed properties:
- Formation energy (no corrections): 202 meV/atom
- Space-group type: I4mm (107)
- Spin magnetization: 0.00 μB per cell
- Relative energy among the computed polymorphs: 0.106 eV/atom

a = 4.5104 Å, b = 4.5104 Å, c = 5.6184 Å
α = 113.67°, β = 113.67°, γ = 90.00°
With the nearest neighbours (Å) after each atom.
Element x y z (fractional)
Zn1 0.2799 0.2799 0.5598  1 Sb 2.61, 1 Bi 2.70
Bi1 0.5722 0.5722 0.1445  1 Zn 2.70
Sb1 0.9979 0.9979 0.9958  1 Zn 2.61

- What is the formula in the third record?
  ZnBiSb3

- Number 6 is which compound?
  Zn2BiSb